Material: Sc2InPd4
Method: DFT, GGA-PBE
State: relaxed

The structure in POSCAR format:
```
Sc2InPd4
1.0
4.9003 0.0000 0.0000
0.0000 4.9003 0.0000
2.4501 2.4501 6.7040
Pd In Sc
4 1 2
Cartesian
2.4501 0.0000 0.0000
2.4501 2.4501 4.0071
4.9003 4.9003 2.6969
0.0000 2.4501 0.0000
0.0000 0.0000 0.0000
4.9003 4.9003 5.0873
2.4501 2.4501 1.6167
```

**Raw total energy**: -36.309 eV per cell
**ΔH_f (0 K)**: -0.14 eV/f.u.
**Relative energy among the computed polymorphs**: 4.356 eV/f.u.
**Space-group type**: I4/mmm

Material: Sc2InPd4
Method: DFT, GGA-PBE
State: relaxed

The structure in POSCAR format:
```
Sc2InPd4
1.0
6.1131 -1.1425 -0.1363
-1.4460 6.8069 -1.0274
-2.4836 -3.9913 7.3432
Sc Pd In
4 8 2
Cartesian
2.5200 4.3086 1.0666
2.7153 0.7166 1.3071
-2.3498 -0.5895 5.7239
0.7151 -0.5725 4.6261
-0.6019 1.6579 5.6220
1.8371 2.5178 3.3706
0.5588 2.4936 0.8416
3.2808 0.1274 3.8322
-0.5727 -2.5667 6.0666
4.1498 2.5399 -0.1714
1.4133 -1.5195 2.1006
-0.4158 0.6162 2.6516
2.1428 1.5245 6.1699
-0.9061 3.2817 2.9168
```

**Raw total energy**: -81.330 eV per cell
**ΔH_f (0 K)**: -4.49 eV/f.u.
**Relative energy among the computed polymorphs**: 0.000 eV/f.u.
**Space-group type**: P1

Material: Sc7In2Pd2
Method: DFT, GGA-PBE
State: relaxed

The structure in POSCAR format:
```
Sc7In2Pd2
1.0
-3.2472 5.6076 0.2425
-4.7278 -2.8984 3.6811
4.0088 -0.0692 5.0964
In Sc Pd
2 7 2
Cartesian
-1.7406 3.0839 6.2104
-2.2256 -0.4439 2.8096
-2.4497 4.8307 3.7336
-3.1864 0.5846 5.4445
0.0000 0.0000 0.0000
-1.5165 -2.1907 5.2863
-1.1357 0.5792 7.9565
-2.8305 2.0608 1.0635
-0.7798 2.0554 3.5755
-5.8908 1.0788 5.3176
1.9246 1.5612 3.7024
```

**Raw total energy**: -63.328 eV per cell
**ΔH_f (0 K)**: -3.14 eV/f.u.
**Space-group type**: Cmmm

Material: Sc6In2Pd
Method: DFT, GGA-PBE
State: relaxed

The structure in POSCAR format:
```
Sc6In2Pd
1.0
3.5078 0.0000 0.0000
0.0000 8.2194 0.0000
0.0000 -4.1097 7.1183
Pd Sc In
1 6 2
Cartesian
1.7539 8.2183 0.0000
0.0000 -1.0469 1.8151
1.7539 5.6984 4.3664
0.0000 2.0936 0.0000
1.7539 1.5887 2.7519
0.0000 3.0628 5.3032
1.7539 5.0430 0.0000
0.0000 0.0002 4.7462
0.0000 4.1099 2.3722
```

**Raw total energy**: -52.527 eV per cell
**ΔH_f (0 K)**: -3.87 eV/f.u.
**Space-group type**: P-62m

Material: Sc2In2Pd
Method: DFT, GGA-PBE
State: relaxed

The structure in POSCAR format:
```
Sc2In2Pd
1.0
-2.5358 6.4815 -0.4446
0.0617 -0.4532 -6.9591
-4.4402 -1.7322 0.0734
In Pd Sc
4 2 4
Cartesian
-4.3375 4.4445 -2.7276
-2.5768 -0.1483 -4.6027
-3.0811 1.2883 -1.2061
-3.8332 3.0079 -6.1241
-1.2370 3.0142 -3.7018
0.0000 0.0000 0.0000
-1.6531 4.1793 -1.3750
-0.3736 0.8531 -2.4653
-2.1005 5.1753 -4.9384
-0.8210 1.8490 -6.0287
```

**Raw total energy**: -49.288 eV per cell
**ΔH_f (0 K)**: -1.31 eV/f.u.
**Relative energy among the computed polymorphs**: 0.928 eV/f.u.
**Space-group type**: P4/mbm

Material: Sc3InPd5
Method: DFT, GGA-PBE
State: relaxed

The structure in POSCAR format:
```
Sc3InPd5
1.0
-4.8302 -1.1740 2.7668
3.7477 -5.8597 4.0563
-0.1306 7.4911 2.9505
Pd Sc In
10 6 2
Cartesian
0.0837 -4.3765 7.0622
1.1621 3.0408 3.3190
-2.4403 -2.7292 3.3549
-1.2969 4.8338 2.7114
-1.1470 0.2363 6.8710
-1.2530 2.4538 4.7025
0.0398 -1.9964 5.0711
1.3577 -4.3045 3.4682
2.4549 -1.4094 3.6877
-0.0662 0.2210 2.9026
-1.2260 -4.6279 4.6692
-2.3190 -0.2923 4.6007
-1.2545 2.4066 1.7554
0.0414 -1.9493 8.0182
1.1058 0.7496 5.1729
0.1434 -2.4058 2.1539
0.0000 0.0000 0.0000
-2.4151 -0.5870 1.3834
```

**Raw total energy**: -110.042 eV per cell
**ΔH_f (0 K)**: -7.32 eV/f.u.
**Space-group type**: P6_3/mcm

Material: ScIn3Pd6
Method: DFT, GGA-PBE
State: relaxed

The structure in POSCAR format:
```
ScIn3Pd6
1.0
4.7476 0.0000 0.0000
0.0000 7.2700 -2.6838
0.0000 -0.1369 10.0983
In Pd Sc
6 12 2
Cartesian
1.1869 3.7570 2.6452
3.5607 1.5678 9.3068
3.5607 4.7440 0.1318
3.5607 3.3760 4.7694
1.1869 5.5653 -1.8923
1.1869 2.3890 7.2828
1.1869 0.9833 1.8738
1.1869 1.6614 4.6336
1.1869 0.2339 9.1095
1.1869 3.2015 -0.1109
3.5607 1.0757 6.3829
3.5607 6.8992 -1.6949
3.5607 6.1497 5.5407
3.5607 5.4716 2.7809
3.5607 2.5706 1.8956
1.1869 4.5624 5.5190
1.1869 6.0573 1.0316
3.5607 3.9315 7.5255
3.5607 0.4300 3.6305
1.1869 6.7030 3.7840
```

**Raw total energy**: -103.505 eV per cell
**ΔH_f (0 K)**: -6.05 eV/f.u.
**Space-group type**: P2_1/m

Material: Sc6In5Pd
Method: DFT, GGA-PBE
State: relaxed

The structure in POSCAR format:
```
Sc6In5Pd
1.0
4.3654 -0.0235 1.4491
0.0395 8.1999 0.0132
-0.0110 -0.0117 7.2817
In Sc Pd
5 6 1
Cartesian
2.8910 -0.0235 5.8659
2.9246 4.0765 5.8204
1.4692 4.0882 2.9236
0.0197 4.1000 0.0066
1.4634 -0.0117 2.8650
0.7167 1.9820 5.1407
2.2127 6.2240 0.7346
3.6568 1.9703 3.5966
3.6771 6.1827 3.6033
0.7370 6.1944 5.1475
2.1921 1.9524 0.7277
0.0000 0.0000 0.0000
```

**Raw total energy**: -62.659 eV per cell
**ΔH_f (0 K)**: -5.78 eV/f.u.
**Space-group type**: P2/m

Material: Sc3InPd
Method: DFT, GGA-PBE
State: relaxed

The structure in POSCAR format:
```
Sc3InPd
1.0
5.0517 0.0000 0.0000
0.0000 5.0517 0.0000
0.0000 0.0000 5.0517
In Sc Pd
1 3 1
Cartesian
2.5258 2.5258 2.5258
0.0000 0.0000 2.5258
2.5258 0.0000 0.0000
0.0000 2.5258 0.0000
0.0000 0.0000 0.0000
```

**Raw total energy**: -27.818 eV per cell
**ΔH_f (0 K)**: -0.89 eV/f.u.
**Relative energy among the computed polymorphs**: 0.000 eV/f.u.
**Space-group type**: Pm-3m

Material: Sc3InPd4
Method: DFT, GGA-PBE
State: relaxed

The structure in POSCAR format:
```
Sc3InPd4
1.0
-3.9978 0.1847 2.4149
-3.4216 -0.2838 -5.6425
-0.1080 -9.3319 0.5348
Pd Sc In
8 6 2
Cartesian
-0.8520 -2.4014 -1.2260
-2.8239 0.0239 -0.1530
-2.6243 -2.5484 -4.1486
-4.9030 -6.8827 1.4559
-2.8778 -4.6421 0.1144
-4.6495 -4.7890 -2.8071
-4.5955 -0.1230 -3.0746
-6.6753 -7.0297 -1.4667
-3.7902 -7.0485 -1.2129
-0.0540 -4.6660 0.2674
-2.0259 -2.2407 1.3412
-3.7371 -2.3825 -1.4798
-2.0798 -6.9066 1.6086
0.0000 0.0000 0.0000
-1.7108 -0.1419 -2.8212
-1.7648 -4.8079 -2.5538
```

**Raw total energy**: -98.636 eV per cell
**ΔH_f (0 K)**: -6.81 eV/f.u.
**Space-group type**: P4/mmm

Material: Sc7InPd4
Method: DFT, GGA-PBE
State: relaxed

The structure in POSCAR format:
```
Sc7InPd4
1.0
5.2818 0.0000 0.0000
2.6409 7.5177 0.4681
2.6409 0.7142 6.4359
Sc Pd In
7 4 1
Cartesian
2.6409 1.1897 3.0041
7.9227 7.0422 3.8999
7.9227 3.3998 4.9961
5.2818 2.7965 1.7412
2.6409 4.8321 1.9080
2.6409 0.0000 0.0000
5.2818 5.4354 5.1629
5.2818 6.0009 2.6688
5.2818 2.2310 4.2353
2.6409 2.6378 0.5435
7.9227 5.5940 6.3605
0.0000 0.0000 0.0000
```

**Raw total energy**: -73.080 eV per cell
**ΔH_f (0 K)**: -5.25 eV/f.u.
**Space-group type**: C2/m

Material: Sc2InPd8
Method: DFT, GGA-PBE
State: relaxed

The structure in POSCAR format:
```
Sc2InPd8
1.0
4.0888 0.0000 0.0000
0.0000 6.4407 0.3236
-2.0444 -2.3662 6.8028
Pd In Sc
8 1 2
Cartesian
2.0444 3.4787 5.0619
2.0444 5.0319 2.7030
2.0444 2.4993 1.4510
0.0000 4.4803 0.7851
2.0444 -0.4058 6.3413
0.0000 0.5958 2.0645
0.0000 1.5753 5.6753
0.0000 -0.9574 4.4234
2.0444 0.0000 0.0000
0.0000 3.2484 3.1931
2.0444 0.8261 3.9332
```

**Raw total energy**: -64.141 eV per cell
**ΔH_f (0 K)**: -7.20 eV/f.u.
**Space-group type**: C2/m

> What is the raw total energy in the ninth record?

-27.818 eV per cell